# La3Tb3PmSe8

An optimized crystal structure of La3Tb3PmSe8 (PBE-GGA, Alexandria via LeMat-Bulk).

## Properties
raw formation energy: -1923.9 meV/atom
N(E_F): 7.9 states/eV/f.u.
mass density: 6.656 g/cm³
magnetic moment: 0.00 μB per formula unit

Structure (CIF):
```
data_La3Tb3PmSe8
_symmetry_space_group_name_H-M 'P 1'
_symmetry_Int_Tables_number 1
_cell_length_a 8.4383
_cell_length_b 8.4383
_cell_length_c 8.4383
_cell_angle_alpha 59.15
_cell_angle_beta 59.15
_cell_angle_gamma 59.15
loop_
_symmetry_equiv_pos_as_xyz
'x,y,z'
loop_
_atom_site_label
_atom_site_type_symbol
_atom_site_fract_x
_atom_site_fract_y
_atom_site_fract_z
La1 La 0.0000 0.5000 0.5000
La2 La 0.5000 0.0000 0.5000
La3 La 0.5000 0.5000 0.0000
Tb1 Tb 0.0000 0.0000 0.5000
Tb2 Tb 0.0000 0.5000 0.0000
Tb3 Tb 0.5000 0.0000 0.0000
Pm1 Pm 0.5000 0.5000 0.5000
Se1 Se 0.2368 0.7523 0.7523
Se2 Se 0.2446 0.2446 0.2446
Se3 Se 0.2477 0.2477 0.7632
Se4 Se 0.2477 0.7632 0.2477
Se5 Se 0.7523 0.2368 0.7523
Se6 Se 0.7523 0.7523 0.2368
Se7 Se 0.7554 0.7554 0.7554
Se8 Se 0.7632 0.2477 0.2477
```